Rb2VCu2Te4 after structural relaxation, computed with GGA-PBE.

abc: 4.1555 8.5940 8.0047
angles: 107.68 105.04 90.00
Last column: magnetic moment on the atom in μB.
Positions (direct):
Cu 0.3092 0.0130 0.6184  -0.05
Cu 0.6908 0.9870 0.3816  -0.05
Rb 0.1319 0.5642 0.2638  0.00
Rb 0.8681 0.4358 0.7362  0.00
V 0.0000 0.0000 0.0000  1.91
Te 0.4810 0.2059 0.9620  -0.09
Te 0.1887 0.1741 0.3773  -0.08
Te 0.5190 0.7941 0.0380  -0.09
Te 0.8113 0.8259 0.6227  -0.08

Final energy in eV per cell: -36.169
Space group: C2/m
Energy relative to the elements, uncorrected in eV per atom: -0.484